one.
A plane-wave DFT calculation with PBE-GGA was carried out for an optimized crystal structure of CrMoSe2N.

```
CrMoSe2N
1.0
4.953 0.000 0.000
0.000 4.953 0.000
0.000 0.000 3.504
Se Mo N Cr
2 1 1 1
Direct
0.000 0.500 0.000 Se
0.500 0.000 0.000 Se
0.500 0.500 0.500 Mo
0.000 0.000 0.500 N
0.000 0.000 0.000 Cr
```

Magnetic moment (μB/atom): 0.863

two.
A plane-wave DFT calculation with PBE-GGA was carried out for an optimized crystal structure of CrMoSe2N.

```
CrMoSe2N
1.0
-1.542 -4.058 -2.579
3.758 -2.707 2.012
-2.233 -0.971 2.864
Mo N Se Cr
1 1 2 1
Direct
0.000 0.000 0.000 Mo
0.000 0.000 0.500 N
0.000 0.500 0.000 Se
0.500 0.000 0.000 Se
0.500 0.500 0.500 Cr
```

Magnetic moment (μB/atom): 0.020

one is preferred energetically. Next in line: 28.9 kJ/mol of atoms higher.

one.
A plane-wave DFT calculation with PBE-GGA was carried out for an optimized crystal structure of CrTe2MoN.

```
CrTe2MoN
1.0
-3.098 1.351 4.092
-3.645 -3.510 -1.600
1.525 -2.483 1.974
Te Cr Mo N
2 1 1 1
Direct
0.500 0.000 0.000 Te
0.000 0.500 0.000 Te
0.000 0.000 0.000 Cr
0.500 0.500 0.500 Mo
0.000 0.000 0.500 N
```

Magnetic moment (μB/atom): 0.870

two.
A plane-wave DFT calculation with PBE-GGA was carried out for an optimized crystal structure of CrTe2MoN.

```
CrTe2MoN
1.0
-2.336 3.132 -3.747
-4.606 -0.032 2.844
1.130 3.074 1.865
Te Mo Cr N
2 1 1 1
Direct
0.500 0.000 0.000 Te
0.000 0.500 0.000 Te
0.000 0.000 0.000 Mo
0.500 0.500 0.500 Cr
0.000 0.000 0.500 N
```

Magnetic moment (μB/atom): 0.003

one is preferred energetically. Next in line: 31.1 kJ/mol of atoms higher.

one.
A plane-wave DFT calculation with PBE-GGA was carried out for an optimized crystal structure of CrTeMoN2.

```
CrTeMoN2
1.0
3.835 0.000 0.000
0.000 3.835 0.000
0.000 0.000 5.546
N Te Mo Cr
2 1 1 1
Direct
0.000 0.500 0.000 N
0.500 0.000 0.000 N
0.000 0.000 0.500 Te
0.500 0.500 0.500 Mo
0.000 0.000 0.000 Cr
```

Magnetic moment (μB/atom): 0.720

two.
A plane-wave DFT calculation with PBE-GGA was carried out for an optimized crystal structure of CrTeMoN2.

```
CrTeMoN2
1.0
3.925 0.000 0.000
0.000 3.925 0.000
0.000 0.000 5.786
Mo Te N Cr
1 1 2 1
Direct
0.000 0.000 0.000 Mo
0.000 0.000 0.500 Te
0.500 0.000 0.000 N
0.000 0.500 0.000 N
0.500 0.500 0.500 Cr
```

Magnetic moment (μB/atom): 0.874

two is preferred energetically. Next in line: 40.5 kJ/mol of atoms higher.

one.
A plane-wave DFT calculation with PBE-GGA was carried out for an optimized crystal structure of Na2CrMo.

```
Na2CrMo
1.0
0.000 3.306 3.306
3.306 0.000 3.306
3.306 3.306 0.000
Na Mo Cr
2 1 1
Direct
0.750 0.750 0.750 Na
0.250 0.250 0.250 Na
0.500 0.500 0.500 Mo
0.000 0.000 0.000 Cr
```

Magnetic moment (μB/atom): 0.000

two.
A plane-wave DFT calculation with PBE-GGA was carried out for an optimized crystal structure of Na2CrMo.

```
Na2CrMo
1.0
8.453 0.000 0.000
0.000 8.453 0.000
4.227 4.227 2.524
Cr Na Mo
2 4 2
Direct
0.250 0.750 0.500 Cr
0.500 0.500 0.000 Cr
0.604 0.125 0.250 Na
0.146 0.625 0.250 Na
0.375 0.396 0.750 Na
0.875 0.854 0.750 Na
0.000 0.000 0.000 Mo
0.750 0.250 0.500 Mo
```

Magnetic moment (μB/atom): 0.163

two is preferred energetically. Next in line: 62.7 kJ/mol of atoms higher.

one.
A plane-wave DFT calculation with PBE-GGA was carried out for an optimized crystal structure of NbCrMo.

```
NbCrMo
1.0
-2.610 -0.626 -0.613
1.064 -4.252 -0.189
-1.315 1.766 3.795
Cr Nb Mo
1 1 1
Direct
0.673 0.333 0.667 Cr
0.334 0.667 0.333 Nb
0.993 0.000 0.000 Mo
```

Magnetic moment (μB/atom): 0.000

two.
A plane-wave DFT calculation with PBE-GGA was carried out for an optimized crystal structure of NbCrMo.

```
NbCrMo
1.0
-2.980 0.715 -0.543
-0.404 -2.749 -1.402
-2.442 -3.877 8.304
Mo Cr Nb
2 2 2
Direct
0.023 0.892 0.607 Mo
0.523 0.392 0.064 Mo
0.023 0.892 0.912 Cr
0.523 0.392 0.760 Cr
0.523 0.392 0.430 Nb
0.023 0.892 0.242 Nb
```

Magnetic moment (μB/atom): 0.000

one is preferred energetically. Next in line: 0.5 kJ/mol of atoms higher.

one.
A plane-wave DFT calculation with PBE-GGA was carried out for an optimized crystal structure of NbCrMo.

```
NbCrMo
1.0
3.118 0.000 0.000
0.000 3.118 0.000
-1.559 -1.559 4.711
Mo Cr Nb
1 1 1
Direct
0.292 0.292 0.583 Mo
0.946 0.946 0.891 Cr
0.613 0.613 0.225 Nb
```

Magnetic moment (μB/atom): 0.000

two.
A plane-wave DFT calculation with PBE-GGA was carried out for an optimized crystal structure of NbCrMo.

```
NbCrMo
1.0
3.022 0.000 0.000
1.511 2.618 0.000
1.511 0.873 6.018
Cr Nb Mo
1 1 1
Direct
0.109 0.109 0.674 Cr
0.334 0.334 0.997 Nb
0.542 0.542 0.373 Mo
```

Magnetic moment (μB/atom): 0.000

one is preferred energetically. Next in line: 41.0 kJ/mol of atoms higher.